Below is a relaxed structure of Tm3VO7, with properties calculated at the PBE+U level.

Cell lengths 7.4332, 10.2387, 7.2217 Å; angles 90.00, 90.00, 90.00 degrees
Space group C222_1 (No. 20)
Unique sites:
Tm  0.0494  0.0000  0.0000 (multiplicity 4)
Tm  0.2308  0.2714  0.7614 (multiplicity 8)
V  0.0067  0.5000  0.0000 (multiplicity 4)
O  0.0000  0.1291  0.2500 (multiplicity 4)
O  0.0000  0.1405  0.7500 (multiplicity 4)
O  0.0000  0.4371  0.7500 (multiplicity 4)
O  0.1683  0.3733  0.0478 (multiplicity 8)
O  0.2005  0.3763  0.4777 (multiplicity 8)

Output
As for the calculated total energy: -8.17 eV per atom. The density of states at the Fermi level comes out at 0.000 states/eV per cell. The spin magnetization is 0.00 μB per cell. The crystal system is orthorhombic.